[1]
LiZnAgGe: optimized geometry, PBE.

The structure belongs to space group F-43m (No. 216); the cell edges are 6.3664, 6.3664 and 6.3664 Å and the angles 90.00°, 90.00° and 90.00°. The inequivalent atoms are Li at (0.0000, 0.0000, 0.0000), Zn at (0.0000, 0.0000, 0.5000), Ag at (0.2500, 0.2500, 0.7500) and Ge at (0.2500, 0.2500, 0.2500).

For the energy above the most stable polymorph in this dataset, the calculation gives 0.015 eV per atom. The total energy comes out at -2.766 eV per atom. The density of states at the Fermi level comes out at 5.3 states/eV/cell. The calculation puts the energy of formation from the pure elements at -2.36 kcal/mol of atoms.


[2]
LaCe2PbN2: optimized geometry, PBE.

The structure belongs to space group P4/mmm (No. 123); the cell edges are 4.6114, 4.6114 and 6.8817 Å and the angles 90.00°, 90.00° and 90.00°. The inequivalent atoms are La at (0.0000, 0.0000, 0.0000), Ce at (0.5000, 0.5000, 0.2235), Pb at (0.0000, 0.0000, 0.5000) and N at (0.0000, 0.5000, 0.0000).

The total energy comes out at -6.819 eV per atom. As for the formation energy without anion corrections: -60 kJ/mol of atoms. The density of states at the Fermi level comes out at 12.2 states/eV/cell.


[3]
SIO3: optimized geometry, PBE.

The structure belongs to space group Pm-3m (No. 221); the cell edges are 4.1207, 4.1207 and 4.1207 Å and the angles 90.00°, 90.00° and 90.00°. The inequivalent atoms are S at (0.0000, 0.0000, 0.0000), I at (0.5000, 0.5000, 0.5000) and O at (0.0000, 0.5000, 0.5000).

The total energy comes out at -3.490 eV per atom. As for the formation energy without anion corrections: 60 kJ/mol of atoms. The density of states at the Fermi level comes out at 1.2 states/eV/cell.


[4]
TiCoSbI2: optimized geometry, PBE.

The structure belongs to space group P4/mmm (No. 123); the cell edges are 5.1538, 5.1538 and 4.9549 Å and the angles 90.00°, 90.00° and 90.00°. The inequivalent atoms are Ti at (0.0000, 0.0000, 0.0000), Co at (0.5000, 0.5000, 0.5000), Sb at (0.5000, 0.5000, 0.0000) and I at (0.0000, 0.5000, 0.5000).

For the energy above the most stable polymorph in this dataset, the calculation gives 0.012 eV per atom. The total energy comes out at -3.732 eV per atom. As for the formation energy without anion corrections: 69 kJ/mol of atoms. The density of states at the Fermi level comes out at 8.9 states/eV/cell.


[5]
ZrRu2Br: optimized geometry, PBE.

The structure belongs to space group Imm2 (No. 44); the cell edges are 3.1486, 4.5549 and 9.4010 Å and the angles 90.00°, 90.00° and 90.00°. The inequivalent atoms are Zr at (0.0000, 0.0000, 0.0000), Ru at (0.0000, 0.0000, 0.4757), Ru at (0.0000, 0.5000, 0.2228) and Br at (0.0000, 0.5000, 0.7479).

For the energy above the most stable polymorph in this dataset, the calculation gives 0.308 eV per atom. The total energy comes out at -6.899 eV per atom. As for the formation energy without anion corrections: 28 kJ/mol of atoms. The density of states at the Fermi level comes out at 10.4 states/eV/cell.


[6]
Ho2SbPb: optimized geometry, PBE.

The structure belongs to space group R3m (No. 160, hexagonal axes); the cell edges are 4.1635, 4.1635 and 24.3309 Å and the angles 90.00°, 90.00° and 120.00°. The inequivalent atoms are Ho at (0.0000, 0.0000, 0.0000), Ho at (0.0000, 0.0000, 0.1813), Sb at (0.0000, 0.0000, 0.5895) and Pb at (0.0000, 0.0000, 0.7581).

For the energy above the most stable polymorph in this dataset, the calculation gives 0.135 eV per atom. The total energy comes out at -4.896 eV per atom. As for the formation energy without anion corrections: -63 kJ/mol of atoms. The density of states at the Fermi level comes out at 6.5 states/eV/cell.


[7]
Mg2ZrPb2: optimized geometry, PBE.

The structure belongs to space group P4/mbm (No. 127); the cell edges are 8.3191, 8.3191 and 3.5522 Å and the angles 90.00°, 90.00° and 90.00°. The inequivalent atoms are Mg at (0.1427, 0.3573, 0.0000), Zr at (0.0000, 0.0000, 0.5000) and Pb at (0.1581, 0.6581, 0.5000).

For the energy above the most stable polymorph in this dataset, the calculation gives 0.000 eV per atom. The total energy comes out at -3.772 eV per atom. The density of states at the Fermi level comes out at 6.5 states/eV/cell. The calculation puts the energy of formation from the pure elements at 1.35 kcal/mol of atoms.


[8]
PmTlSb2: optimized geometry, PBE.

The structure belongs to space group P4/mmm (No. 123); the cell edges are 4.2274, 4.2274 and 6.6303 Å and the angles 90.00°, 90.00° and 90.00°. The inequivalent atoms are Pm at (0.0000, 0.0000, 0.0000), Tl at (0.0000, 0.0000, 0.5000) and Sb at (0.5000, 0.5000, 0.2239).

For the energy above the most stable polymorph in this dataset, the calculation gives 0.000 eV per atom. The total energy comes out at -4.368 eV per atom. As for the formation energy without anion corrections: -51 kJ/mol of atoms. The density of states at the Fermi level comes out at 3.7 states/eV/cell.


[9]
AcLaSnAu: optimized geometry, PBE.

The structure belongs to space group F-43m (No. 216); the cell edges are 7.9038, 7.9038 and 7.9038 Å and the angles 90.00°, 90.00° and 90.00°. The inequivalent atoms are Ac at (0.0000, 0.0000, 0.0000), La at (0.0000, 0.0000, 0.5000), Sn at (0.2500, 0.2500, 0.2500) and Au at (0.2500, 0.2500, 0.7500).

The total energy comes out at -4.790 eV per atom. The density of states at the Fermi level comes out at 10.9 states/eV/cell. The calculation puts the energy of formation from the pure elements at -16.39 kcal/mol of atoms.


[10]
CaSc2Br: optimized geometry, PBE.

The structure belongs to space group Fm-3m (No. 225); the cell edges are 7.5878, 7.5878 and 7.5878 Å and the angles 90.00°, 90.00° and 90.00°. The inequivalent atoms are Ca at (0.0000, 0.0000, 0.0000), Sc at (0.2500, 0.2500, 0.2500) and Br at (0.0000, 0.0000, 0.5000).

For the energy above the most stable polymorph in this dataset, the calculation gives 0.735 eV per atom. The total energy comes out at -3.806 eV per atom. As for the formation energy without anion corrections: 27 kJ/mol of atoms. The density of states at the Fermi level comes out at 25.6 states/eV/cell.


[11]
Ba12Sn3Cl5: optimized geometry, PBE.

The structure belongs to space group Ia-3d (No. 230); the cell edges are 19.5560, 19.5560 and 19.5560 Å and the angles 90.00°, 90.00° and 90.00°. The inequivalent atoms are Ba at (0.0242, 0.0671, 0.6545), Sn at (0.0000, 0.2500, 0.1250), Cl at (0.0000, 0.0000, 0.0000) and Cl at (0.0000, 0.2500, 0.3750).

The total energy comes out at -3.292 eV per atom. As for the formation energy without anion corrections: -104 kJ/mol of atoms. The density of states at the Fermi level comes out at 132.8 states/eV/cell.


[12]
Ac3In7Au4: optimized geometry, PBE.

The structure belongs to space group C2/m (No. 12); the cell edges are 17.7044, 4.8210 and 10.5692 Å and the angles 90.00°, 125.77° and 90.00°. The inequivalent atoms are Ac at (0.0000, 0.0000, 0.0000), Ac at (0.1908, 0.5000, 0.6979), In at (0.0000, 0.0000, 0.5000), In at (0.0043, 0.5000, 0.2950), In at (0.1596, 0.0000, 0.4280), In at (0.1724, 0.5000, 0.0278), Au at (0.1305, 0.0000, 0.8551) and Au at (0.1545, 0.5000, 0.2718).

The total energy comes out at -3.744 eV per atom. The density of states at the Fermi level comes out at 9.9 states/eV/cell. The calculation puts the energy of formation from the pure elements at -12.88 kcal/mol of atoms.